Record 1
A plane-wave DFT calculation with PBE was carried out for a geometry-optimized Cd3GeI structure.

Cell and atoms, written as CIF:
```
data_Cd3GeI
_space_group_name_H-M_alt 'P m -3 m'
_space_group_IT_number 221
_space_group_name_Hall '-P 4 2 3'
_cell_length_a 5.824
_cell_length_b 5.824
_cell_length_c 5.824
_cell_angle_alpha 90.00
_cell_angle_beta 90.00
_cell_angle_gamma 90.00
loop_
_atom_site_label
_atom_site_type_symbol
_atom_site_fract_x
_atom_site_fract_y
_atom_site_fract_z
Cd1 Cd 0.000 0.000 0.500
Ge1 Ge 0.500 0.500 0.500
I1 I 0.000 0.000 0.000
```

Properties
polymorph energy (0 for the lowest one): 87.67 kJ per mole of atoms
formation energy without anion corrections: 0.90 eV per atom

---

Record 2
A plane-wave DFT calculation with PBE was carried out for a geometry-optimized Cd3GeI structure.

Cell and atoms, written as CIF:
```
data_Cd3GeI
_space_group_name_H-M_alt 'P m -3 m'
_space_group_IT_number 221
_space_group_name_Hall '-P 4 2 3'
_cell_length_a 5.358
_cell_length_b 5.358
_cell_length_c 5.358
_cell_angle_alpha 90.00
_cell_angle_beta 90.00
_cell_angle_gamma 90.00
loop_
_atom_site_label
_atom_site_type_symbol
_atom_site_fract_x
_atom_site_fract_y
_atom_site_fract_z
Cd1 Cd 0.000 0.000 0.500
Ge1 Ge 0.000 0.000 0.000
I1 I 0.500 0.500 0.500
```

Properties
polymorph energy (0 for the lowest one): 0.00 kJ per mole of atoms
formation energy without anion corrections: -0.01 eV per atom

---

Record 3
A plane-wave DFT calculation with PBE was carried out for a geometry-optimized CdGeI4 structure.

Cell and atoms, written as CIF:
```
data_CdGeI4
_space_group_name_H-M_alt 'C 1 2/m 1'
_space_group_IT_number 12
_cell_length_a 16.569
_cell_length_b 4.307
_cell_length_c 7.467
_cell_angle_alpha 90.00
_cell_angle_beta 115.62
_cell_angle_gamma 90.00
loop_
_space_group_symop_operation_xyz
'x,y,z'
'-x,-y,-z'
'-x,y,-z'
'x,-y,z'
'x+1/2,y+1/2,z'
'-x+1/2,-y+1/2,-z'
'-x+1/2,y+1/2,-z'
'x+1/2,-y+1/2,z'
loop_
_atom_site_label
_atom_site_type_symbol
_atom_site_fract_x
_atom_site_fract_y
_atom_site_fract_z
Cd1 Cd 0.000 0.000 0.000
Ge1 Ge 0.000 0.500 0.500
I1 I 0.116 0.500 0.946
I2 I 0.117 0.000 0.447
```

Properties
formation energy without anion corrections: -0.44 eV per atom

---

Record 4
A plane-wave DFT calculation with PBE was carried out for a geometry-optimized CdGe2I6 structure.

Cell and atoms, written as CIF:
```
data_CdGe2I6
_space_group_name_H-M_alt 'C 1 2/c 1'
_space_group_IT_number 15
_cell_length_a 13.796
_cell_length_b 19.000
_cell_length_c 6.393
_cell_angle_alpha 90.00
_cell_angle_beta 117.15
_cell_angle_gamma 90.00
loop_
_space_group_symop_operation_xyz
'x,y,z'
'-x,-y,-z'
'-x,y,-z+1/2'
'x,-y,z+1/2'
'x+1/2,y+1/2,z'
'-x+1/2,-y+1/2,-z'
'-x+1/2,y+1/2,-z+1/2'
'x+1/2,-y+1/2,z+1/2'
loop_
_atom_site_label
_atom_site_type_symbol
_atom_site_fract_x
_atom_site_fract_y
_atom_site_fract_z
Cd1 Cd 0.000 0.181 0.250
Ge1 Ge 0.140 0.407 0.597
I1 I 0.128 0.085 0.131
I2 I 0.129 0.416 0.151
I3 I 0.138 0.259 0.651
```

Properties
polymorph energy (0 for the lowest one): 3.81 kJ per mole of atoms
formation energy without anion corrections: -0.36 eV per atom

---

Record 5
A plane-wave DFT calculation with PBE was carried out for a geometry-optimized CdGeI3 structure.

Cell and atoms, written as CIF:
```
data_CdGeI3
_space_group_name_H-M_alt 'P m -3 m'
_space_group_IT_number 221
_space_group_name_Hall '-P 4 2 3'
_cell_length_a 5.842
_cell_length_b 5.842
_cell_length_c 5.842
_cell_angle_alpha 90.00
_cell_angle_beta 90.00
_cell_angle_gamma 90.00
loop_
_atom_site_label
_atom_site_type_symbol
_atom_site_fract_x
_atom_site_fract_y
_atom_site_fract_z
Cd1 Cd 0.000 0.000 0.000
Ge1 Ge 0.500 0.500 0.500
I1 I 0.000 0.000 0.500
```

Properties
polymorph energy (0 for the lowest one): 45.55 kJ per mole of atoms
formation energy without anion corrections: 0.20 eV per atom

---

Record 6
A plane-wave DFT calculation with PBE was carried out for a geometry-optimized CdGe2I6 structure.

Cell and atoms, written as CIF:
```
data_CdGe2I6
_space_group_name_H-M_alt 'C 1 2/m 1'
_space_group_IT_number 12
_cell_length_a 16.322
_cell_length_b 4.304
_cell_length_c 11.231
_cell_angle_alpha 90.00
_cell_angle_beta 111.71
_cell_angle_gamma 90.00
loop_
_space_group_symop_operation_xyz
'x,y,z'
'-x,-y,-z'
'-x,y,-z'
'x,-y,z'
'x+1/2,y+1/2,z'
'-x+1/2,-y+1/2,-z'
'-x+1/2,y+1/2,-z'
'x+1/2,-y+1/2,z'
loop_
_atom_site_label
_atom_site_type_symbol
_atom_site_fract_x
_atom_site_fract_y
_atom_site_fract_z
Cd1 Cd 0.000 0.000 0.000
Ge1 Ge 0.167 0.500 0.336
I1 I 0.027 0.000 0.284
I2 I 0.139 0.500 0.052
I3 I 0.193 0.500 0.616
```

Properties
polymorph energy (0 for the lowest one): 0.00 kJ per mole of atoms
formation energy without anion corrections: -0.40 eV per atom

---

Record 7
A plane-wave DFT calculation with PBE was carried out for a geometry-optimized CdGe2I structure.

Cell and atoms, written as CIF:
```
data_CdGe2I
_space_group_name_H-M_alt 'F m -3 m'
_space_group_IT_number 225
_space_group_name_Hall '-F 4 2 3'
_cell_length_a 7.323
_cell_length_b 7.323
_cell_length_c 7.323
_cell_angle_alpha 90.00
_cell_angle_beta 90.00
_cell_angle_gamma 90.00
loop_
_atom_site_label
_atom_site_type_symbol
_atom_site_fract_x
_atom_site_fract_y
_atom_site_fract_z
Cd1 Cd 0.000 0.000 0.000
Ge1 Ge 0.250 0.250 0.250
I1 I 0.000 0.000 0.500
```

Properties
polymorph energy (0 for the lowest one): 0.34 kJ per mole of atoms
formation energy without anion corrections: 0.50 eV per atom

---

Record 8
A plane-wave DFT calculation with PBE was carried out for a geometry-optimized CdGe3I structure.

Cell and atoms, written as CIF:
```
data_CdGe3I
_space_group_name_H-M_alt 'P m -3 m'
_space_group_IT_number 221
_space_group_name_Hall '-P 4 2 3'
_cell_length_a 5.296
_cell_length_b 5.296
_cell_length_c 5.296
_cell_angle_alpha 90.00
_cell_angle_beta 90.00
_cell_angle_gamma 90.00
loop_
_atom_site_label
_atom_site_type_symbol
_atom_site_fract_x
_atom_site_fract_y
_atom_site_fract_z
Cd1 Cd 0.000 0.000 0.000
Ge1 Ge 0.000 0.000 0.500
I1 I 0.500 0.500 0.500
```

Properties
polymorph energy (0 for the lowest one): 0.00 kJ per mole of atoms
formation energy without anion corrections: 0.77 eV per atom

---

Record 9
A plane-wave DFT calculation with PBE was carried out for a geometry-optimized K2CdGeI6 structure.

Cell and atoms, written as CIF:
```
data_K2CdGeI6
_space_group_name_H-M_alt 'P 1'
_space_group_IT_number 1
_cell_length_a 8.358
_cell_length_b 8.361
_cell_length_c 9.371
_cell_angle_alpha 116.39
_cell_angle_beta 90.11
_cell_angle_gamma 119.95
loop_
_space_group_symop_operation_xyz
'x,y,z'
loop_
_atom_site_label
_atom_site_type_symbol
_atom_site_fract_x
_atom_site_fract_y
_atom_site_fract_z
K1 K 0.000 0.000 0.000
K2 K 0.484 0.968 0.453
Cd1 Cd 0.228 0.455 0.683
Ge1 Ge 0.778 0.555 0.333
I1 I 0.034 0.701 0.162
I2 I 0.168 0.741 0.666
I3 I 0.461 0.495 0.163
I4 I 0.574 0.497 0.665
I5 I 0.668 0.129 0.163
I6 I 0.924 0.091 0.664
```

Properties
formation energy without anion corrections: -0.83 eV per atom

---

Record 10
A plane-wave DFT calculation with PBE was carried out for a geometry-optimized La8CdGe3I4 structure.

Cell and atoms, written as CIF:
```
data_La8CdGe3I4
_space_group_name_H-M_alt 'R -3 m'
_space_group_IT_number 166
_space_group_name_Hall '-R 3 2"'
_cell_length_a 9.0432
_cell_length_b 9.0432
_cell_length_c 22.8240
_cell_angle_alpha 90.00
_cell_angle_beta 90.00
_cell_angle_gamma 120.00
loop_
_atom_site_label
_atom_site_type_symbol
_atom_site_fract_x
_atom_site_fract_y
_atom_site_fract_z
La1 La 0.0000 0.0000 0.2349
La2 La 0.0124 0.5062 0.7612
Cd1 Cd 0.0000 0.0000 0.5000
Ge1 Ge 0.0000 0.5000 0.5000
I1 I 0.0000 0.0000 0.0000
I2 I 0.0000 0.5000 0.0000
```

Properties
formation energy without anion corrections: -0.95 eV per atom

---

Record 11
A plane-wave DFT calculation with PBE was carried out for a geometry-optimized CdGeI2N structure.

Cell and atoms, written as CIF:
```
data_CdGeI2N
_space_group_name_H-M_alt 'P 4/m m m'
_space_group_IT_number 123
_space_group_name_Hall '-P 4 2'
_cell_length_a 5.946
_cell_length_b 5.946
_cell_length_c 3.640
_cell_angle_alpha 90.00
_cell_angle_beta 90.00
_cell_angle_gamma 90.00
loop_
_atom_site_label
_atom_site_type_symbol
_atom_site_fract_x
_atom_site_fract_y
_atom_site_fract_z
Cd1 Cd 0.000 0.000 0.000
Ge1 Ge 0.500 0.500 0.500
I1 I 0.000 0.500 0.500
N1 N 0.500 0.500 0.000
```

Properties
polymorph energy (0 for the lowest one): 0.00 kJ per mole of atoms
formation energy without anion corrections: 0.48 eV per atom

---

Record 12
A plane-wave DFT calculation with PBE was carried out for a geometry-optimized CdGeI2N structure.

Cell and atoms, written as CIF:
```
data_CdGeI2N
_space_group_name_H-M_alt 'P 4/m m m'
_space_group_IT_number 123
_space_group_name_Hall '-P 4 2'
_cell_length_a 6.065
_cell_length_b 6.065
_cell_length_c 4.175
_cell_angle_alpha 90.00
_cell_angle_beta 90.00
_cell_angle_gamma 90.00
loop_
_atom_site_label
_atom_site_type_symbol
_atom_site_fract_x
_atom_site_fract_y
_atom_site_fract_z
Cd1 Cd 0.000 0.000 0.000
Ge1 Ge 0.500 0.500 0.500
I1 I 0.000 0.500 0.000
N1 N 0.000 0.000 0.500
```

Properties
polymorph energy (0 for the lowest one): 36.23 kJ per mole of atoms
formation energy without anion corrections: 0.86 eV per atom

---

Record 13
A plane-wave DFT calculation with PBE was carried out for a geometry-optimized CdGeIO6 structure.

Cell and atoms, written as CIF:
```
data_CdGeIO6
_space_group_name_H-M_alt 'P -3 1 c'
_space_group_IT_number 163
_space_group_name_Hall '-P 3 2c'
_cell_length_a 5.2127
_cell_length_b 5.2127
_cell_length_c 9.9278
_cell_angle_alpha 90.00
_cell_angle_beta 90.00
_cell_angle_gamma 120.00
loop_
_atom_site_label
_atom_site_type_symbol
_atom_site_fract_x
_atom_site_fract_y
_atom_site_fract_z
Cd1 Cd 0.0000 0.0000 0.0000
Ge1 Ge 0.3333 0.6667 0.2500
I1 I 0.3333 0.6667 0.7500
O1 O 0.0125 0.3767 0.1405
```

Properties
formation energy without anion corrections: -0.85 eV per atom

---

Record 14
A plane-wave DFT calculation with PBE was carried out for a geometry-optimized CdGeSbI2 structure.

Cell and atoms, written as CIF:
```
data_CdGeSbI2
_space_group_name_H-M_alt 'P 4/m m m'
_space_group_IT_number 123
_space_group_name_Hall '-P 4 2'
_cell_length_a 5.712
_cell_length_b 5.712
_cell_length_c 5.728
_cell_angle_alpha 90.00
_cell_angle_beta 90.00
_cell_angle_gamma 90.00
loop_
_atom_site_label
_atom_site_type_symbol
_atom_site_fract_x
_atom_site_fract_y
_atom_site_fract_z
Cd1 Cd 0.000 0.000 0.000
Ge1 Ge 0.500 0.500 0.500
Sb1 Sb 0.000 0.000 0.500
I1 I 0.000 0.500 0.000
```

Properties
polymorph energy (0 for the lowest one): 26.32 kJ per mole of atoms
formation energy without anion corrections: 0.56 eV per atom

---

Record 15
A plane-wave DFT calculation with PBE was carried out for a geometry-optimized CdGeSbI2 structure.

Cell and atoms, written as CIF:
```
data_CdGeSbI2
_space_group_name_H-M_alt 'P 4/m m m'
_space_group_IT_number 123
_space_group_name_Hall '-P 4 2'
_cell_length_a 5.726
_cell_length_b 5.726
_cell_length_c 5.669
_cell_angle_alpha 90.00
_cell_angle_beta 90.00
_cell_angle_gamma 90.00
loop_
_atom_site_label
_atom_site_type_symbol
_atom_site_fract_x
_atom_site_fract_y
_atom_site_fract_z
Cd1 Cd 0.000 0.000 0.000
Ge1 Ge 0.500 0.500 0.500
Sb1 Sb 0.500 0.500 0.000
I1 I 0.000 0.500 0.500
```

Properties
polymorph energy (0 for the lowest one): 0.00 kJ per mole of atoms
formation energy without anion corrections: 0.29 eV per atom

---

Record 16
A plane-wave DFT calculation with PBE was carried out for a geometry-optimized CdGeTe2I structure.

Cell and atoms, written as CIF:
```
data_CdGeTe2I
_space_group_name_H-M_alt 'P 4/m m m'
_space_group_IT_number 123
_space_group_name_Hall '-P 4 2'
_cell_length_a 5.626
_cell_length_b 5.626
_cell_length_c 5.436
_cell_angle_alpha 90.00
_cell_angle_beta 90.00
_cell_angle_gamma 90.00
loop_
_atom_site_label
_atom_site_type_symbol
_atom_site_fract_x
_atom_site_fract_y
_atom_site_fract_z
Cd1 Cd 0.000 0.000 0.000
Ge1 Ge 0.000 0.000 0.500
Te1 Te 0.000 0.500 0.000
I1 I 0.500 0.500 0.500
```

Properties
polymorph energy (0 for the lowest one): 28.94 kJ per mole of atoms
formation energy without anion corrections: 0.58 eV per atom

---

Record 17
A plane-wave DFT calculation with PBE was carried out for a geometry-optimized CdGeTe2I structure.

Cell and atoms, written as CIF:
```
data_CdGeTe2I
_space_group_name_H-M_alt 'P 4/m m m'
_space_group_IT_number 123
_space_group_name_Hall '-P 4 2'
_cell_length_a 5.480
_cell_length_b 5.480
_cell_length_c 5.678
_cell_angle_alpha 90.00
_cell_angle_beta 90.00
_cell_angle_gamma 90.00
loop_
_atom_site_label
_atom_site_type_symbol
_atom_site_fract_x
_atom_site_fract_y
_atom_site_fract_z
Cd1 Cd 0.000 0.000 0.000
Ge1 Ge 0.500 0.500 0.500
Te1 Te 0.000 0.500 0.500
I1 I 0.500 0.500 0.000
```

Properties
polymorph energy (0 for the lowest one): 0.00 kJ per mole of atoms
formation energy without anion corrections: 0.28 eV per atom

---

Record 18
A plane-wave DFT calculation with PBE was carried out for a geometry-optimized CdGeTe2I structure.

Cell and atoms, written as CIF:
```
data_CdGeTe2I
_space_group_name_H-M_alt 'P 4/m m m'
_space_group_IT_number 123
_space_group_name_Hall '-P 4 2'
_cell_length_a 5.603
_cell_length_b 5.603
_cell_length_c 5.745
_cell_angle_alpha 90.00
_cell_angle_beta 90.00
_cell_angle_gamma 90.00
loop_
_atom_site_label
_atom_site_type_symbol
_atom_site_fract_x
_atom_site_fract_y
_atom_site_fract_z
Cd1 Cd 0.000 0.000 0.000
Ge1 Ge 0.500 0.500 0.500
Te1 Te 0.000 0.500 0.000
I1 I 0.000 0.000 0.500
```

Properties
polymorph energy (0 for the lowest one): 23.13 kJ per mole of atoms
formation energy without anion corrections: 0.52 eV per atom

---

Record 19
A plane-wave DFT calculation with PBE was carried out for a geometry-optimized Tl2CdGeI6 structure.

Cell and atoms, written as CIF:
```
data_Tl2CdGeI6
_space_group_name_H-M_alt 'P 1'
_space_group_IT_number 1
_cell_length_a 8.079
_cell_length_b 8.414
_cell_length_c 8.466
_cell_angle_alpha 100.62
_cell_angle_beta 110.37
_cell_angle_gamma 115.74
loop_
_space_group_symop_operation_xyz
'x,y,z'
loop_
_atom_site_label
_atom_site_type_symbol
_atom_site_fract_x
_atom_site_fract_y
_atom_site_fract_z
Tl1 Tl 0.000 0.000 0.000
Tl2 Tl 0.016 0.498 0.515
Cd1 Cd 0.527 0.700 0.213
Ge1 Ge 0.438 0.175 0.640
I1 I 0.274 0.819 0.295
I2 I 0.346 0.973 0.849
I3 I 0.477 0.546 0.854
I4 I 0.495 0.411 0.348
I5 I 0.862 0.314 0.814
I6 I 0.934 0.038 0.383
```

Properties
formation energy without anion corrections: -0.50 eV per atom

---

Record 20
A plane-wave DFT calculation with PBE was carried out for a geometry-optimized VCdGe2I structure.

Cell and atoms, written as CIF:
```
data_VCdGe2I
_space_group_name_H-M_alt 'P 4/m m m'
_space_group_IT_number 123
_space_group_name_Hall '-P 4 2'
_cell_length_a 5.553
_cell_length_b 5.553
_cell_length_c 4.858
_cell_angle_alpha 90.00
_cell_angle_beta 90.00
_cell_angle_gamma 90.00
loop_
_atom_site_label
_atom_site_type_symbol
_atom_site_fract_x
_atom_site_fract_y
_atom_site_fract_z
V1 V 0.000 0.000 0.000
Cd1 Cd 0.500 0.500 0.000
Ge1 Ge 0.000 0.500 0.500
I1 I 0.000 0.000 0.500
```

Properties
formation energy without anion corrections: 1.37 eV per atom